Run w
Nb2Zn2Mo: relaxed, PBE.

abc: 3.759 3.759 6.590
angles: 73.43 73.43 90.00
Positions (direct):
Zn 0.408 0.408 0.184
Zn 0.592 0.592 0.816
Mo 0.000 0.000 0.000
Nb 0.750 0.250 0.500
Nb 0.250 0.750 0.500

Output
V = 85 Å³/cell
total magnetic moment = 0.00 μB/cell

=====

Run x
Nb2Zn2Mo: relaxed, PBE.

abc: 6.824 6.824 3.484
angles: 90.00 90.00 90.00
Positions (direct):
Zn 0.377 0.877 0.000
Zn 0.877 0.623 0.000
Zn 0.623 0.123 0.000
Zn 0.123 0.377 0.000
Mo 0.000 0.000 0.000
Mo 0.500 0.500 0.000
Nb 0.180 0.680 0.500
Nb 0.680 0.820 0.500
Nb 0.820 0.320 0.500
Nb 0.320 0.180 0.500

Output
V = 162 Å³/cell
total magnetic moment = 0.00 μB/cell

=====

Stability check: which of them is most stable? run x.

=====

Run w
NbZn2Mo: relaxed, PBE.

abc: 5.697 5.697 6.926
angles: 65.71 65.71 90.00
Positions (direct):
Zn 0.639 0.125 0.250
Zn 0.111 0.625 0.250
Zn 0.375 0.361 0.750
Zn 0.875 0.889 0.750
Mo 0.000 0.000 0.000
Mo 0.750 0.250 0.500
Nb 0.500 0.500 0.000
Nb 0.250 0.750 0.500

Output
V = 183 Å³/cell
total magnetic moment = 0.00 μB/cell

=====

Run x
NbZn2Mo: relaxed, PBE.

abc: 4.446 4.446 4.446
angles: 60.00 60.00 60.00
Positions (direct):
Zn 0.250 0.250 0.250
Zn 0.750 0.750 0.750
Mo 0.500 0.500 0.500
Nb 0.000 0.000 0.000

Output
V = 62 Å³/cell
total magnetic moment = 0.00 μB/cell

=====

Stability check: which of them is most stable? run x.

=====

Run w
ZrNbMo2: relaxed, PBE.

abc: 7.349 7.349 5.910
angles: 51.56 51.56 90.00
Positions (direct):
Mo 0.641 0.125 0.250
Mo 0.109 0.625 0.250
Mo 0.375 0.359 0.750
Mo 0.875 0.891 0.750
Nb 0.000 0.000 0.000
Nb 0.750 0.250 0.500
Zr 0.500 0.500 0.000
Zr 0.250 0.750 0.500

Output
V = 152 Å³/cell
total magnetic moment = 0.00 μB/cell

=====

Run x
ZrNbMo2: relaxed, PBE.

abc: 4.648 4.648 4.648
angles: 60.00 60.00 60.00
Positions (direct):
Mo 0.250 0.250 0.250
Mo 0.750 0.750 0.750
Nb 0.500 0.500 0.500
Zr 0.000 0.000 0.000

Output
V = 71 Å³/cell
total magnetic moment = 0.00 μB/cell

=====

Run y
ZrNbMo2: relaxed, PBE.

abc: 3.295 4.640 4.640
angles: 90.00 90.00 90.00
Positions (direct):
Mo 0.000 0.000 0.500
Mo 0.000 0.500 0.000
Nb 0.500 0.000 0.000
Zr 0.500 0.500 0.500

Output
V = 71 Å³/cell
total magnetic moment = 0.00 μB/cell

=====

Run z
ZrNbMo2: relaxed, PBE.

abc: 3.270 3.270 6.656
angles: 90.00 90.00 90.00
Positions (direct):
Mo 0.000 0.000 0.763
Mo 0.000 0.000 0.237
Nb 0.500 0.500 0.000
Zr 0.500 0.500 0.500

Output
V = 71 Å³/cell
total magnetic moment = 0.00 μB/cell

=====

Stability check: which of them is most stable? run z.

=====

Run w
ZrNb2Mo2: relaxed, PBE.

abc: 7.648 7.648 3.215
angles: 90.00 90.00 90.00
Positions (direct):
Mo 0.352 0.852 0.000
Mo 0.852 0.648 0.000
Mo 0.648 0.148 0.000
Mo 0.148 0.352 0.000
Nb 0.150 0.650 0.500
Nb 0.650 0.850 0.500
Nb 0.850 0.350 0.500
Nb 0.350 0.150 0.500
Zr 0.000 0.000 0.000
Zr 0.500 0.500 0.000

Output
V = 188 Å³/cell
total magnetic moment = 0.00 μB/cell

=====

Run x
ZrNb2Mo2: relaxed, PBE.

abc: 3.297 4.727 11.611
angles: 90.00 98.25 90.00
Positions (direct):
Zr 0.853 0.750 0.706
Zr 0.147 0.250 0.294
Nb 0.049 0.750 0.097
Nb 0.951 0.250 0.903
Nb 0.243 0.750 0.488
Nb 0.757 0.250 0.512
Mo 0.649 0.750 0.298
Mo 0.351 0.250 0.702
Mo 0.455 0.750 0.908
Mo 0.545 0.250 0.092

Output
V = 179 Å³/cell
total magnetic moment = 0.00 μB/cell

=====

Run y
ZrNb2Mo2: relaxed, PBE.

abc: 2.867 2.867 11.788
angles: 85.50 85.50 110.82
Positions (direct):
Zr 0.994 0.994 0.012
Nb 0.206 0.206 0.587
Nb 0.606 0.606 0.788
Mo 0.392 0.392 0.217
Mo 0.802 0.802 0.396

Output
V = 90 Å³/cell
total magnetic moment = 0.00 μB/cell

=====

Stability check: which of them is most stable? run x.